# 1
Entry from Alexandria via LeMat-Bulk: a relaxed structure of Li4Tl2Ag5 (PBE-GGA).

a b c (Å): 7.4713 7.4713 5.6275
angles (deg): 99.44 99.44 43.61
With the nearest neighbours (Å) after each atom.
Fractional positions:
Li  0.0845  0.0845  0.4009  2 Li 2.77-2.92, 6 Ag 3.02-3.10, 1 Tl 3.04
Li  0.2527  0.2527  0.1547  4 Ag 2.70-2.80, 2 Tl 2.81-2.94, 1 Li 2.92
Li  0.7473  0.7473  0.8453  4 Ag 2.70-2.80, 2 Tl 2.81-2.94, 1 Li 2.92
Li  0.9155  0.9155  0.5991  2 Li 2.77-2.92, 6 Ag 3.02-3.10, 1 Tl 3.04
Tl  0.2956  0.2956  0.6621  5 Li 2.81-3.08, 3 Ag 3.02-3.13
Tl  0.7044  0.7044  0.3379  5 Li 2.81-3.08, 3 Ag 3.02-3.13
Ag  0.1555  0.6684  0.0927  3 Li 2.70-3.02, 4 Ag 2.70-2.85, 1 Tl 3.02
Ag  0.3316  0.8445  0.9073  3 Li 2.70-3.02, 4 Ag 2.70-2.85, 1 Tl 3.02
Ag  0.5000  0.5000  0.5000  4 Ag 2.79, 4 Li 3.10
Ag  0.6684  0.1555  0.0927  3 Li 2.70-3.02, 4 Ag 2.70-2.85, 1 Tl 3.02
Ag  0.8445  0.3316  0.9073  3 Li 2.70-3.02, 4 Ag 2.70-2.85, 1 Tl 3.02

## Properties
DFT formation energy ... -1.0 eV/f.u.
Final energy ... -0.09231 Ha/atom
D(E_F) ... 0.33 states/eV/atom

***

# 2
Entry from Alexandria via LeMat-Bulk: a relaxed structure of LiTlZnAg2 (PBE-GGA).

a b c (Å): 4.9385 4.9385 4.8051
angles (deg): 90.00 90.00 90.00
With the nearest neighbours (Å) after each atom.
Fractional positions:
Li  0.0000  0.0000  0.0000  2 Zn 2.40
Tl  0.5000  0.5000  0.0000  8 Ag 3.45, 4 Li 3.49
Zn  0.0000  0.0000  0.5000  2 Li 2.40, 4 Ag 2.47
Ag  0.0000  0.5000  0.5000  2 Zn 2.47
Ag  0.5000  0.0000  0.5000  2 Zn 2.47

## Properties
DFT formation energy ... 1.1 eV/f.u.
Final energy ... -0.07467 Ha/atom
D(E_F) ... 0.41 states/eV/atom

***

# 3
Entry from Alexandria via LeMat-Bulk: a relaxed structure of LiTlZnAg (PBE-GGA).

a b c (Å): 4.7078 4.7078 4.7078
angles (deg): 60.00 60.00 60.00
With the nearest neighbours (Å) after each atom.
Fractional positions:
Li  0.0000  0.0000  0.0000  4 Tl 2.88, 4 Ag 2.88
Tl  0.7500  0.7500  0.7500  4 Zn 2.88, 4 Li 2.88
Zn  0.5000  0.5000  0.5000  4 Tl 2.88, 4 Ag 2.88
Ag  0.2500  0.2500  0.2500  4 Zn 2.88, 4 Li 2.88

## Properties
DFT formation energy ... -0.4 eV/f.u.
Final energy ... -0.08051 Ha/atom
D(E_F) ... 0.35 states/eV/atom

***

# 4
Entry from Alexandria via LeMat-Bulk: a relaxed structure of LiZrTlAg (PBE-GGA).

a b c (Å): 4.8397 4.8397 4.8397
angles (deg): 60.00 60.00 60.00
With the nearest neighbours (Å) after each atom.
Fractional positions:
Li  0.0000  0.0000  0.0000  4 Tl 2.96, 4 Ag 2.96
Zr  0.5000  0.5000  0.5000  4 Tl 2.96, 4 Ag 2.96
Tl  0.7500  0.7500  0.7500  4 Zr 2.96, 4 Li 2.96
Ag  0.2500  0.2500  0.2500  4 Zr 2.96, 4 Li 2.96

## Properties
DFT formation energy ... -0.3 eV/f.u.
Final energy ... -0.14699 Ha/atom
D(E_F) ... 0.53 states/eV/atom

***

> What is the DFT formation energy in the third record?

-0.4 eV/f.u.